Entry from Alexandria: a relaxed structure of Pr6GaCu5 (GGA-PBE).

a = 5.1326 Å, b = 7.3127 Å, c = 8.1273 Å
α = 90.00°, β = 108.31°, γ = 90.00°
Last column: nearest neighbours and their distance in Å.
Space group P2/m (No. 10)
One atom of each set of equivalent atoms:
Pr 0.0000 0.2426 0.0000 x2  6 Cu 3.09-3.12, 2 Ga 3.18
Pr 0.3311 0.2496 0.6618 x4  7 Cu 3.13-3.23, 1 Ga 3.19
Ga 0.5000 0.5000 0.0000 x1  8 Pr 3.18-3.19, 4 Cu 3.54-3.55
Cu 0.1583 0.5000 0.3171 x2  8 Pr 3.09-3.23
Cu 0.1649 0.0000 0.3323 x2  8 Pr 3.12-3.15
Cu 0.5000 0.0000 0.0000 x1  8 Pr 3.12-3.18

Values from the calculation:
total DFT energy (no corrections) = -4.537 eV/atom
energy relative to the elements = -188 meV/atom
Fermi-level density of states = 10.631 states/eV/f.u.
spin magnetization = 0.00 μB/atom